# SCAN Pb2AuS2, single point on PBEsol structure
# Uncorrected formation energy   -0.28 eV per atom
# Excess energy over the best structure of this formula in the dataset   0.0 meV/atom
# Mass density   8.777 g cm⁻³
# Total magnetic moment   0.0 μB per formula unit
data_Pb2AuS2
_cell_length_a 5.784
_cell_length_b 5.784
_cell_length_c 7.640
_cell_angle_alpha 90.00
_cell_angle_beta 90.00
_cell_angle_gamma 90.00
_space_group_name_H-M_alt 'I 4/m m m'
_space_group_IT_number 139
_space_group_name_Hall '-I 4 2'
loop_
_atom_site_label
_atom_site_type_symbol
_atom_site_fract_x
_atom_site_fract_y
_atom_site_fract_z
_atom_site_occupancy
Pb1 Pb 0.000 0.500 0.250 1
Au1 Au 0.000 0.000 0.000 1
S1 S 0.000 0.000 0.301 1